(1)
! PBE-GGA Tl2TcSe, relaxed; values from VASP
! distance to the lowest polymorph of the same formula: 0.615 eV per atom
! ΔE_f (raw): 0.677 eV/atom
! volume: 23.25 Å³/atom
&SYSTEM
  ibrav = 0, nat = 4, ntyp = 3
/
ATOMIC_SPECIES
Tl 204.38 Tl.upf
Tc 98.00 Tc.upf
Se 78.96 Se.upf
ATOMIC_POSITIONS crystal
Tl 0.000 0.000 0.000
Tl 0.500 0.500 0.000
Tc 0.000 0.500 0.500
Se 0.500 0.000 0.500
CELL_PARAMETERS angstrom
3.461 0.000 0.000
0.000 4.982 0.000
0.000 0.000 5.393

=====

(2)
! PBE-GGA SrTcAsSe2, relaxed; values from VASP
! distance to the lowest polymorph of the same formula: 1.608 eV per atom
! ΔE_f (raw): 1.158 eV/atom
! volume: 33.99 Å³/atom
&SYSTEM
  ibrav = 0, nat = 5, ntyp = 4
/
ATOMIC_SPECIES
Sr 87.62 Sr.upf
Tc 98.00 Tc.upf
As 74.92 As.upf
Se 78.96 Se.upf
ATOMIC_POSITIONS crystal
Sr 0.000 0.000 0.000
Tc 0.500 0.500 0.500
As 0.000 0.000 0.500
Se 0.000 0.500 0.000
Se 0.500 0.000 0.000
CELL_PARAMETERS angstrom
5.564 0.000 0.000
0.000 5.564 0.000
0.000 0.000 5.490

=====

(3)
! PBE-GGA Th4ZnRh12, relaxed; values from VASP
! energy relative to the elements: -0.689 eV per atom
! volume: 17.74 Å³/atom
&SYSTEM
  ibrav = 0, nat = 17, ntyp = 3
/
ATOMIC_SPECIES
Th 232.04 Th.upf
Zn 65.41 Zn.upf
Rh 102.91 Rh.upf
ATOMIC_POSITIONS crystal
Th 0.000 0.000 0.500
Th 0.000 0.500 0.000
Th 0.500 0.000 0.000
Th 0.500 0.500 0.500
Zn 0.000 0.000 0.000
Rh 0.000 0.289 0.289
Rh 0.000 0.711 0.711
Rh 0.250 0.500 0.750
Rh 0.250 0.750 0.500
Rh 0.289 0.000 0.289
Rh 0.289 0.289 0.000
Rh 0.500 0.250 0.750
Rh 0.500 0.750 0.250
Rh 0.711 0.000 0.711
Rh 0.711 0.711 0.000
Rh 0.750 0.250 0.500
Rh 0.750 0.500 0.250
CELL_PARAMETERS angstrom
-4.225 4.225 4.225
4.225 -4.225 4.225
4.225 4.225 -4.225

=====

| no. | N(E_F) (states/eV/f.u.) |
| --- | --- |
| 1 | 2.73 |
| 2 | 5.50 |
| 3 | 22.98 |